Record 1
Material: Eu2TlZn
Method: DFT, SCAN
State: PBEsol geometry

The structure in POSCAR format:
```
Eu2TlZn
1.0
5.3478 0.0000 0.0000
2.6739 4.6313 0.0000
2.6739 1.5438 4.3664
Eu Tl Zn
2 1 1
Direct
0.2500 0.2500 0.2500
0.7500 0.7500 0.7500
0.0000 0.0000 0.0000
0.5000 0.5000 0.5000
```

Computed properties:
uncorrected energy	-195.16	eV/cell

Record 2
Material: EuZn
Method: DFT, SCAN
State: PBEsol geometry

The structure in POSCAR format:
```
EuZn
1.0
-1.4259 3.3631 -0.1684
-2.7806 -1.0728 2.1189
1.8993 0.9543 2.9756
Eu Zn
1 1
Direct
0.5000 0.5000 0.5000
0.0000 0.0000 0.0000
```

Computed properties:
uncorrected energy	-67.83	eV/cell

Q: uncorrected energy of number 2 (EuZn)?
A: -67.83 eV/cell

Q: The highest uncorrected energy belongs to which entry?
A: EuZn

Q: The highest uncorrected energy belongs to which entry?
A: EuZn

Repeat the second record exactly.
Material: EuZn
Method: DFT, SCAN
State: PBEsol geometry

The structure in POSCAR format:
```
EuZn
1.0
-1.4259 3.3631 -0.1684
-2.7806 -1.0728 2.1189
1.8993 0.9543 2.9756
Eu Zn
1 1
Direct
0.5000 0.5000 0.5000
0.0000 0.0000 0.0000
```

Computed properties:
uncorrected energy	-67.83	eV/cell